Entry 1:
{"formula": "SrSn3Bi", "functional": "PBEsol", "state": "relaxed", "lattice_angstrom": [[5.7905, 0.0000, 0.0000], [0.0000, 5.7905, 0.0000], [0.0000, 0.0000, 5.7905]], "species": ["Sr", "Sn", "Sn", "Sn", "Bi"], "fractional_positions": [[0.0000, 0.0000, 0.0000], [0.0000, 0.0000, 0.5000], [0.0000, 0.5000, 0.0000], [0.5000, 0.0000, 0.0000], [0.5000, 0.5000, 0.5000]], "magmom_total_mub_per_atom": 0.000, "final_energy_ev_per_atom": -2.860, "e_form_ev_per_atom": 0.9211, "relative_energy_ev_per_fu": 2.90, "crystal_system": "cubic"}

=====

Entry 2:
{"formula": "Sr2SnBi2", "functional": "PBEsol", "state": "relaxed", "lattice_angstrom": [[8.3885, 0.0000, 0.0000], [0.0000, 8.3885, 0.0000], [0.0000, 0.0000, 4.7635]], "species": ["Sr", "Sr", "Sr", "Sr", "Sn", "Sn", "Bi", "Bi", "Bi", "Bi"], "fractional_positions": [[0.1733, 0.3267, 0.0000], [0.3267, 0.8267, 0.0000], [0.6733, 0.1733, 0.0000], [0.8267, 0.6733, 0.0000], [0.0000, 0.0000, 0.5000], [0.5000, 0.5000, 0.5000], [0.1317, 0.6317, 0.5000], [0.3683, 0.1317, 0.5000], [0.6317, 0.8683, 0.5000], [0.8683, 0.3683, 0.5000]], "magmom_total_mub_per_atom": 0.000, "final_energy_ev_per_atom": -3.949, "e_form_ev_per_atom": -0.6466, "crystal_system": "tetragonal"}

=====

Entry 3:
{"formula": "SrSn3Bi", "functional": "PBEsol", "state": "relaxed", "lattice_angstrom": [[5.7751, 0.0000, 0.0000], [0.0000, 5.7751, 0.0000], [0.0000, 0.0000, 5.7751]], "species": ["Sr", "Sn", "Sn", "Sn", "Bi"], "fractional_positions": [[0.0000, 0.0000, 0.0000], [0.0000, 0.5000, 0.5000], [0.5000, 0.0000, 0.5000], [0.5000, 0.5000, 0.0000], [0.5000, 0.5000, 0.5000]], "magmom_total_mub_per_atom": 0.000, "final_energy_ev_per_atom": -3.440, "e_form_ev_per_atom": 0.3405, "relative_energy_ev_per_fu": 0.00, "crystal_system": "cubic"}

=====

Entry 4:
{"formula": "SrSnBi2Te", "functional": "PBEsol", "state": "relaxed", "lattice_angstrom": [[5.7174, 0.0000, 0.0000], [0.0000, 5.7174, 0.0000], [0.0000, 0.0000, 5.7756]], "species": ["Sr", "Sn", "Bi", "Bi", "Te"], "fractional_positions": [[0.0000, 0.0000, 0.0000], [0.5000, 0.5000, 0.5000], [0.0000, 0.5000, 0.5000], [0.5000, 0.0000, 0.5000], [0.5000, 0.5000, 0.0000]], "e_form_raw_ev_per_atom": 0.02, "magmom_total_mub_per_atom": 0.000, "final_energy_ev_per_atom": -3.622, "crystal_system": "tetragonal"}

=====

Entry 5:
{"formula": "TaSnBi3", "functional": "PBEsol", "state": "relaxed", "lattice_angstrom": [[5.5690, 0.0000, 0.0000], [0.0000, 5.5690, 0.0000], [0.0000, 0.0000, 5.5690]], "species": ["Ta", "Sn", "Bi", "Bi", "Bi"], "fractional_positions": [[0.0000, 0.0000, 0.0000], [0.5000, 0.5000, 0.5000], [0.0000, 0.5000, 0.5000], [0.5000, 0.0000, 0.5000], [0.5000, 0.5000, 0.0000]], "magmom_total_mub_per_atom": 0.542, "final_energy_ev_per_atom": -4.278, "e_form_ev_per_atom": 1.6557, "crystal_system": "cubic"}

=====

Entry 6:
{"formula": "TaSn2BiW", "functional": "PBEsol", "state": "relaxed", "lattice_angstrom": [[5.2817, 0.0000, 0.0000], [0.0000, 5.2817, 0.0000], [0.0000, 0.0000, 4.8218]], "species": ["Ta", "Sn", "Sn", "Bi", "W"], "fractional_positions": [[0.0000, 0.0000, 0.0000], [0.0000, 0.5000, 0.0000], [0.5000, 0.0000, 0.0000], [0.5000, 0.5000, 0.5000], [0.0000, 0.0000, 0.5000]], "magmom_total_mub_per_atom": 0.001, "final_energy_ev_per_atom": -6.636, "e_form_ev_per_atom": 1.1964, "crystal_system": "tetragonal"}